[1]
The following is a DFT calculation (PBE) of an optimized crystal structure of PmMgCoGe2.

abc: 5.459 5.789 5.903
angles: 90.00 90.00 90.00
Sites, in units of the cell vectors:
Pm (0.250, 0.000, 0.231)
Pm (0.750, 0.000, 0.769)
Mg (0.250, 0.500, 0.373)
Mg (0.750, 0.500, 0.627)
Co (0.000, 0.500, 0.000)
Co (0.500, 0.500, 0.000)
Ge (0.250, 0.246, 0.764)
Ge (0.250, 0.754, 0.764)
Ge (0.750, 0.246, 0.236)
Ge (0.750, 0.754, 0.236)

## Properties
- Volume: 186.5 Å³/cell
- Energy of formation from the pure elements: -0.4166 eV per atom
- Crystal system: orthorhombic
- SG: Pmma
- Density: 6.650 g/cm³


[2]
The following is a DFT calculation (PBE) of an optimized crystal structure of Co4RuN4.

abc: 5.176 5.477 7.238
angles: 111.84 91.00 99.61
Sites, in units of the cell vectors:
Co (0.157, 0.395, 0.047)
Co (0.285, 0.482, 0.720)
Co (0.312, 0.819, 0.424)
Co (0.336, 0.956, 0.878)
Co (0.664, 0.044, 0.122)
Co (0.688, 0.181, 0.576)
Co (0.715, 0.518, 0.280)
Co (0.843, 0.605, 0.953)
Ru (0.140, 0.081, 0.246)
Ru (0.860, 0.919, 0.754)
N (0.020, 0.683, 0.209)
N (0.168, 0.756, 0.636)
N (0.343, 0.198, 0.509)
N (0.416, 0.251, 0.121)
N (0.584, 0.749, 0.879)
N (0.657, 0.802, 0.491)
N (0.832, 0.244, 0.364)
N (0.980, 0.317, 0.791)

## Properties
- Volume: 187.1 Å³/cell
- Crystal system: triclinic
- SG: P-1
- Density: 6.974 g/cm³


[3]
The following is a DFT calculation (PBE) of an optimized crystal structure of TcTeCl2.

abc: 6.740 6.740 6.740
angles: 117.11 117.11 95.09
Sites, in units of the cell vectors:
Tc (0.000, 0.000, 0.000)
Tc (0.750, 0.250, 0.500)
Te (0.250, 0.750, 0.500)
Te (0.500, 0.500, 0.000)
Cl (0.375, 0.245, 0.370)
Cl (0.755, 0.125, 0.130)
Cl (0.875, 0.005, 0.630)
Cl (0.995, 0.625, 0.870)

## Properties
- Volume: 225.0 Å³/cell
- ΔE to the lowest computed polymorph: 3.19 eV per formula unit
- Crystal system: tetragonal
- SG: I-42d
- Density: 4.376 g/cm³


[4]
The following is a DFT calculation (PBE) of an optimized crystal structure of Pr3Cd4.

abc: 11.296 11.296 11.296
angles: 161.94 154.05 31.80
Sites, in units of the cell vectors:
Pr (0.000, 0.000, 0.000)
Pr (0.302, 0.802, 0.500)
Pr (0.698, 0.198, 0.500)
Cd (0.141, 0.641, 0.500)
Cd (0.433, 0.433, 0.000)
Cd (0.567, 0.567, 0.000)
Cd (0.859, 0.359, 0.500)

## Properties
- Volume: 195.4 Å³/cell
- ΔE to the lowest computed polymorph: 0.00 eV per formula unit
- Energy of formation from the pure elements: -0.2986 eV per atom
- Crystal system: orthorhombic
- SG: Immm
- Density: 7.412 g/cm³


[5]
The following is a DFT calculation (PBE) of an optimized crystal structure of LiPa2OsO8.

abc: 5.452 5.452 6.659
angles: 90.00 90.00 120.00
Sites, in units of the cell vectors:
Li (0.000, 0.000, 0.000)
Pa (0.333, 0.667, 0.364)
Pa (0.667, 0.333, 0.636)
Os (0.000, 0.000, 0.500)
O (0.175, 0.350, 0.655)
O (0.175, 0.825, 0.655)
O (0.333, 0.667, 0.087)
O (0.350, 0.175, 0.345)
O (0.650, 0.825, 0.655)
O (0.667, 0.333, 0.913)
O (0.825, 0.175, 0.345)
O (0.825, 0.650, 0.345)

## Properties
- Volume: 171.4 Å³/cell
- Crystal system: trigonal
- SG: P-3m1
- Density: 7.626 g/cm³


[6]
The following is a DFT calculation (PBE) of an optimized crystal structure of U4GeSe5.

abc: 9.077 9.077 8.330
angles: 104.08 104.08 25.84
Sites, in units of the cell vectors:
U (0.003, 0.003, 0.255)
U (0.330, 0.330, 0.901)
U (0.670, 0.670, 0.099)
U (0.997, 0.997, 0.745)
Ge (0.500, 0.500, 0.000)
Se (0.165, 0.165, 0.849)
Se (0.166, 0.166, 0.332)
Se (0.500, 0.500, 0.500)
Se (0.834, 0.834, 0.668)
Se (0.835, 0.835, 0.151)

## Properties
- Volume: 289.6 Å³/cell
- Crystal system: monoclinic
- SG: C2/m
- Density: 8.138 g/cm³


[7]
The following is a DFT calculation (PBE) of an optimized crystal structure of SrYTl6.

abc: 4.870 4.870 9.780
angles: 90.00 90.00 90.00
Sites, in units of the cell vectors:
Sr (0.000, 0.000, 0.000)
Y (0.000, 0.000, 0.500)
Tl (0.000, 0.500, 0.259)
Tl (0.000, 0.500, 0.741)
Tl (0.500, 0.000, 0.259)
Tl (0.500, 0.000, 0.741)
Tl (0.500, 0.500, 0.000)
Tl (0.500, 0.500, 0.500)

## Properties
- Volume: 231.9 Å³/cell
- Energy of formation from the pure elements: -0.2493 eV per atom
- Crystal system: tetragonal
- SG: P4/mmm
- Density: 10.044 g/cm³


[8]
The following is a DFT calculation (PBE) of an optimized crystal structure of BaNaAg5.

abc: 9.660 5.747 12.141
angles: 90.00 90.00 90.00
Sites, in units of the cell vectors:
Ba (0.244, 0.250, 0.063)
Ba (0.256, 0.750, 0.563)
Ba (0.744, 0.250, 0.437)
Ba (0.756, 0.750, 0.937)
Na (0.138, 0.750, 0.862)
Na (0.362, 0.250, 0.362)
Na (0.638, 0.750, 0.638)
Na (0.862, 0.250, 0.138)
Ag (0.050, 0.750, 0.109)
Ag (0.070, 0.003, 0.313)
Ag (0.070, 0.497, 0.313)
Ag (0.081, 0.250, 0.516)
Ag (0.186, 0.250, 0.740)
Ag (0.314, 0.750, 0.240)
Ag (0.419, 0.750, 0.016)
Ag (0.430, 0.503, 0.813)
Ag (0.430, 0.997, 0.813)
Ag (0.450, 0.250, 0.609)
Ag (0.550, 0.750, 0.391)
Ag (0.570, 0.003, 0.187)
Ag (0.570, 0.497, 0.187)
Ag (0.581, 0.250, 0.984)
Ag (0.686, 0.250, 0.760)
Ag (0.814, 0.750, 0.260)
Ag (0.919, 0.750, 0.484)
Ag (0.930, 0.503, 0.687)
Ag (0.930, 0.997, 0.687)
Ag (0.950, 0.250, 0.891)

## Properties
- Volume: 674.0 Å³/cell
- Energy of formation from the pure elements: -0.1429 eV per atom
- Crystal system: orthorhombic
- SG: Pnma
- Density: 6.895 g/cm³


[9]
The following is a DFT calculation (PBE) of an optimized crystal structure of SmEr2ReO8.

abc: 5.036 5.036 6.790
angles: 90.00 90.00 90.01
Sites, in units of the cell vectors:
Sm (0.000, 0.000, 0.000)
Er (0.500, 0.500, 0.248)
Er (0.500, 0.500, 0.752)
Re (0.000, 0.000, 0.500)
O (0.184, 0.184, 0.296)
O (0.184, 0.184, 0.704)
O (0.268, 0.732, 0.500)
O (0.314, 0.686, 0.000)
O (0.686, 0.314, 0.000)
O (0.732, 0.268, 0.500)
O (0.816, 0.816, 0.296)
O (0.816, 0.816, 0.704)

## Properties
- Volume: 172.2 Å³/cell
- Crystal system: orthorhombic
- SG: Cmmm
- Density: 7.706 g/cm³


[10]
The following is a DFT calculation (PBE) of an optimized crystal structure of Li3Ac3Hg8.

abc: 9.225 9.225 9.225
angles: 148.14 116.91 72.43
Sites, in units of the cell vectors:
Li (0.000, 0.000, 0.000)
Li (0.181, 0.500, 0.681)
Li (0.819, 0.500, 0.319)
Ac (0.219, 0.719, 0.500)
Ac (0.500, 0.000, 0.500)
Ac (0.781, 0.281, 0.500)
Hg (0.065, 0.874, 0.191)
Hg (0.198, 0.349, 0.849)
Hg (0.317, 0.126, 0.191)
Hg (0.500, 0.349, 0.151)
Hg (0.500, 0.651, 0.849)
Hg (0.683, 0.874, 0.809)
Hg (0.802, 0.651, 0.151)
Hg (0.935, 0.126, 0.809)

## Properties
- Volume: 363.8 Å³/cell
- Energy of formation from the pure elements: -0.4069 eV per atom
- Crystal system: orthorhombic
- SG: Immm
- Density: 10.529 g/cm³


[11]
The following is a DFT calculation (PBE) of an optimized crystal structure of ZrNpAg.

abc: 12.866 12.866 12.866
angles: 15.56 15.56 15.56
Sites, in units of the cell vectors:
Zr (0.084, 0.084, 0.084)
Zr (0.916, 0.916, 0.916)
Np (0.184, 0.184, 0.184)
Np (0.816, 0.816, 0.816)
Ag (0.360, 0.360, 0.360)
Ag (0.640, 0.640, 0.640)

## Properties
- Volume: 133.6 Å³/cell
- Energy of formation from the pure elements: 0.2106 eV per atom
- Crystal system: trigonal
- SG: R-3m
- Density: 10.841 g/cm³


[12]
The following is a DFT calculation (PBE) of an optimized crystal structure of Ag2GeCBr.

abc: 5.024 5.024 5.328
angles: 90.00 90.00 90.00
Sites, in units of the cell vectors:
Ag (0.000, 0.500, 0.000)
Ag (0.500, 0.000, 0.000)
Ge (0.000, 0.000, 0.000)
C (0.500, 0.500, 0.500)
Br (0.000, 0.000, 0.500)

## Properties
- Volume: 134.5 Å³/cell
- Crystal system: tetragonal
- SG: P4/mmm
- Density: 4.696 g/cm³


[13]
The following is a DFT calculation (PBE) of an optimized crystal structure of PSe2NF.

abc: 5.022 5.022 3.161
angles: 90.00 90.00 90.00
Sites, in units of the cell vectors:
P (0.000, 0.000, 0.000)
Se (0.000, 0.500, 0.000)
Se (0.500, 0.000, 0.000)
N (0.000, 0.000, 0.500)
F (0.500, 0.500, 0.500)

## Properties
- Volume: 79.7 Å³/cell
- ΔE to the lowest computed polymorph: 0.00 eV per formula unit
- Crystal system: tetragonal
- SG: P4/mmm
- Density: 4.622 g/cm³


[14]
The following is a DFT calculation (PBE) of an optimized crystal structure of TaAgIO6.

abc: 5.419 5.419 10.335
angles: 90.00 90.00 120.00
Sites, in units of the cell vectors:
Ta (0.333, 0.667, 0.250)
Ta (0.667, 0.333, 0.750)
Ag (0.000, 0.000, 0.000)
Ag (0.000, 0.000, 0.500)
I (0.333, 0.667, 0.750)
I (0.667, 0.333, 0.250)
O (0.000, 0.383, 0.642)
O (0.000, 0.384, 0.142)
O (0.000, 0.616, 0.858)
O (0.000, 0.617, 0.358)
O (0.383, 0.000, 0.142)
O (0.383, 0.384, 0.358)
O (0.384, 0.000, 0.642)
O (0.384, 0.383, 0.858)
O (0.616, 0.000, 0.358)
O (0.616, 0.617, 0.142)
O (0.617, 0.000, 0.858)
O (0.617, 0.616, 0.642)

## Properties
- Volume: 262.8 Å³/cell
- Crystal system: trigonal
- SG: P-31c
- Density: 6.467 g/cm³


[15]
The following is a DFT calculation (PBE) of an optimized crystal structure of PrDyTm2Tl4.

abc: 9.368 9.368 9.368
angles: 33.41 33.41 33.41
Sites, in units of the cell vectors:
Pr (0.000, 0.000, 0.000)
Dy (0.500, 0.500, 0.500)
Tm (0.249, 0.249, 0.249)
Tm (0.751, 0.751, 0.751)
Tl (0.127, 0.127, 0.127)
Tl (0.377, 0.377, 0.377)
Tl (0.623, 0.623, 0.623)
Tl (0.873, 0.873, 0.873)

## Properties
- Volume: 221.9 Å³/cell
- Energy of formation from the pure elements: -0.3245 eV per atom
- Crystal system: trigonal
- SG: R-3m
- Density: 10.914 g/cm³


[16]
The following is a DFT calculation (PBE) of an optimized crystal structure of Tl3Ni.

abc: 3.360 3.360 8.637
angles: 90.00 90.00 90.14
Sites, in units of the cell vectors:
Tl (0.000, 0.000, 0.000)
Tl (0.500, 0.500, 0.313)
Tl (0.500, 0.500, 0.687)
Ni (0.000, 0.000, 0.500)

## Properties
- Volume: 97.5 Å³/cell
- Energy of formation from the pure elements: 0.2118 eV per atom
- Crystal system: orthorhombic
- SG: Cmmm
- Density: 11.440 g/cm³


[17]
The following is a DFT calculation (PBE) of an optimized crystal structure of Be2RuPtN.

abc: 4.337 4.337 3.644
angles: 90.00 90.00 90.00
Sites, in units of the cell vectors:
Be (0.000, 0.500, 0.000)
Be (0.500, 0.000, 0.000)
Ru (0.000, 0.000, 0.000)
Pt (0.500, 0.500, 0.500)
N (0.000, 0.000, 0.500)

## Properties
- Volume: 68.6 Å³/cell
- Crystal system: tetragonal
- SG: P4/mmm
- Density: 7.949 g/cm³


[18]
The following is a DFT calculation (PBE) of an optimized crystal structure of AgP5Pb2.

abc: 8.887 8.887 7.337
angles: 112.70 112.70 49.02
Sites, in units of the cell vectors:
Ag (0.000, 0.500, 0.000)
Ag (0.500, 0.000, 0.500)
P (0.062, 0.296, 0.215)
P (0.117, 0.883, 0.250)
P (0.214, 0.604, 0.019)
P (0.296, 0.062, 0.715)
P (0.396, 0.786, 0.481)
P (0.604, 0.214, 0.519)
P (0.704, 0.938, 0.285)
P (0.786, 0.396, 0.981)
P (0.883, 0.117, 0.750)
P (0.938, 0.704, 0.785)
Pb (0.108, 0.639, 0.461)
Pb (0.361, 0.892, 0.039)
Pb (0.639, 0.108, 0.961)
Pb (0.892, 0.361, 0.539)

## Properties
- Volume: 396.2 Å³/cell
- Energy of formation from the pure elements: 0.1440 eV per atom
- Crystal system: monoclinic
- SG: C2/c
- Density: 5.676 g/cm³


[19]
The following is a DFT calculation (PBE) of an optimized crystal structure of UVGa.

abc: 5.166 5.166 5.166
angles: 139.81 139.81 58.14
Sites, in units of the cell vectors:
U (0.000, 0.000, 0.000)
V (0.251, 0.251, 0.000)
Ga (0.676, 0.676, 0.000)

## Properties
- Volume: 56.9 Å³/cell
- ΔE to the lowest computed polymorph: 0.65 eV per formula unit
- Energy of formation from the pure elements: 0.2389 eV per atom
- Crystal system: tetragonal
- SG: I4mm
- Density: 10.466 g/cm³


[20]
The following is a DFT calculation (PBE) of an optimized crystal structure of CoPt2Se.

abc: 5.435 5.435 5.435
angles: 150.16 128.68 60.50
Sites, in units of the cell vectors:
Co (0.000, 0.000, 0.000)
Pt (0.246, 0.746, 0.500)
Pt (0.754, 0.254, 0.500)
Se (0.500, 0.500, 0.000)

## Properties
- Volume: 61.8 Å³/cell
- Crystal system: orthorhombic
- SG: Immm
- Density: 14.181 g/cm³


[21]
The following is a DFT calculation (PBE) of an optimized crystal structure of Ca3Ga3Ag.

abc: 5.949 5.949 14.879
angles: 108.84 108.84 45.08
Sites, in units of the cell vectors:
Ca (0.032, 0.032, 0.380)
Ca (0.109, 0.109, 0.925)
Ca (0.245, 0.245, 0.228)
Ca (0.755, 0.755, 0.772)
Ca (0.891, 0.891, 0.075)
Ca (0.968, 0.968, 0.620)
Ga (0.372, 0.372, 0.458)
Ga (0.399, 0.399, 0.922)
Ga (0.463, 0.463, 0.770)
Ga (0.537, 0.537, 0.230)
Ga (0.601, 0.601, 0.078)
Ga (0.628, 0.628, 0.542)
Ag (0.255, 0.255, 0.602)
Ag (0.745, 0.745, 0.398)

## Properties
- Volume: 349.3 Å³/cell
- Energy of formation from the pure elements: -0.4290 eV per atom
- Crystal system: monoclinic
- SG: C2/m
- Density: 4.157 g/cm³


[22]
The following is a DFT calculation (PBE) of an optimized crystal structure of CuAgPtCl6.

abc: 6.017 6.017 11.193
angles: 90.00 90.00 90.00
Sites, in units of the cell vectors:
Cu (0.000, 0.000, 0.000)
Cu (0.500, 0.500, 0.500)
Ag (0.000, 0.000, 0.315)
Ag (0.500, 0.500, 0.815)
Pt (0.000, 0.000, 0.656)
Pt (0.500, 0.500, 0.156)
Cl (0.180, 0.180, 0.817)
Cl (0.196, 0.196, 0.505)
Cl (0.213, 0.213, 0.144)
Cl (0.287, 0.713, 0.644)
Cl (0.304, 0.696, 0.005)
Cl (0.320, 0.680, 0.317)
Cl (0.680, 0.320, 0.317)
Cl (0.696, 0.304, 0.005)
Cl (0.713, 0.287, 0.644)
Cl (0.787, 0.787, 0.144)
Cl (0.804, 0.804, 0.505)
Cl (0.820, 0.820, 0.817)

## Properties
- Volume: 405.2 Å³/cell
- Crystal system: tetragonal
- SG: P4_2nm
- Density: 4.747 g/cm³


| no. | E_tot (eV per atom) |
| --- | --- |
| 1 | -4.954 |
| 2 | -7.622 |
| 3 | -3.775 |
| 4 | -2.870 |
| 5 | -8.133 |
| 6 | -7.611 |
| 7 | -3.042 |
| 8 | -2.643 |
| 9 | -8.284 |
| 10 | -1.870 |
| 11 | -7.903 |
| 12 | -2.548 |
| 13 | -4.026 |
| 14 | -6.223 |
| 15 | -3.798 |
| 16 | -3.008 |
| 17 | -5.450 |
| 18 | -4.521 |
| 19 | -7.572 |
| 20 | -5.441 |
| 21 | -2.991 |
| 22 | -3.099 |